(1)
This record from OQMD describes a relaxed structure of BaPuAl. The functional is PBE.

Cell lengths 7.468, 7.468, 7.468 Å; angles 90.00, 90.00, 90.00 degrees
Sites, in units of the cell vectors:
Ba: 0.000 0.000 0.000
Ba: 0.000 0.500 0.500
Ba: 0.500 0.000 0.500
Ba: 0.500 0.500 0.000
Pu: 0.250 0.250 0.250
Pu: 0.250 0.750 0.750
Pu: 0.750 0.250 0.750
Pu: 0.750 0.750 0.250
Al: 0.250 0.250 0.750
Al: 0.250 0.750 0.250
Al: 0.750 0.250 0.250
Al: 0.750 0.750 0.750

Values from the calculation:
As for the space-group type: F-43m (216). The uncorrected energy is -5.8408 eV/atom.

=====

(2)
This record from OQMD describes a relaxed structure of LiMg2Cd. The functional is PBE.

Cell lengths 3.455, 3.455, 6.727 Å; angles 90.00, 90.00, 90.00 degrees
Sites, in units of the cell vectors:
Li: 0.000 0.000 0.000
Mg: 0.500 0.500 0.240
Mg: 0.500 0.500 0.760
Cd: 0.000 0.000 0.500

Values from the calculation:
As for the space-group type: P4/mmm (123). The uncorrected energy is -1.5919 eV/atom.